Ca2Ge | PBE | relaxed

Output
Its calculated density is 2.7 g/cm3. The energy of formation comes out at -601 meV per atom. As for the symmetry: Fm-3m, No. 225.

abc: 5.0929 5.0929 5.0929
angles: 60.00 60.00 60.00
With the nearest neighbours (Å) after each atom.
Fractional coordinates of all 3 atoms:
Ca: 0.2500 0.2500 0.2500  4 Ge 3.12
Ca: 0.7500 0.7500 0.7500  4 Ge 3.12
Ge: 0.0000 0.0000 0.0000  8 Ca 3.12